# Cd2TeRu | the Alexandria database | PBE | optimized geometry
data_Cd2TeRu
_chemical_formula_sum 'Cd2 Te1 Ru1'
_cell_length_a 4.3674
_cell_length_b 3.2389
_cell_length_c 6.9662
_cell_angle_alpha 90.00
_cell_angle_beta 108.21
_cell_angle_gamma 90.00
_space_group_name_H-M_alt 'P 1 m 1'
_space_group_IT_number 6
loop_
_space_group_symop_operation_xyz
'x,y,z'
'x,-y,z'
loop_
_atom_site_label
_atom_site_type_symbol
_atom_site_fract_x
_atom_site_fract_y
_atom_site_fract_z
Cd1 Cd 0.0000 0.0000 0.0000
Cd2 Cd 0.3457 0.5000 0.6883
Te1 Te 0.6430 0.5000 0.2841
Ru1 Ru 0.7962 0.0000 0.5889
# E = -3.464 eV per atom
# formation energy (no corrections) = 0.10 eV per atom
# distance to the lowest polymorph of the same formula = 53 meV per atom